# 1
# ErF

An optimized crystal structure of ErF (GGA-PBE, the Open Quantum Materials Database).

Summary:
SG: Fm-3m
Crystal system: cubic

abc: 3.545 3.545 3.545
angles: 60.00 60.00 60.00
Atoms (fractional coordinates):
Er 0.000 0.000 0.000
F 0.500 0.500 0.500

# 2
# Re2As2O5

An optimized crystal structure of Re2As2O5 (GGA-PBE, the Open Quantum Materials Database).

Summary:
SG: P4/mmm
Crystal system: tetragonal

abc: 3.840 3.840 6.851
angles: 90.00 90.00 90.00
Atoms (fractional coordinates):
Re 0.000 0.000 0.178
Re 0.000 0.000 0.822
As 0.500 0.500 0.000
As 0.500 0.500 0.500
O 0.000 0.000 0.500
O 0.000 0.500 0.259
O 0.000 0.500 0.741
O 0.500 0.000 0.259
O 0.500 0.000 0.741

# 3
# SmTeAs

An optimized crystal structure of SmTeAs (GGA-PBE, the Open Quantum Materials Database).

Summary:
SG: F-43m
Crystal system: cubic

abc: 4.979 4.979 4.979
angles: 60.00 60.00 60.00
Atoms (fractional coordinates):
Sm 0.000 0.000 0.000
Te 0.500 0.500 0.500
As 0.250 0.250 0.250

# 4
# SmGdNi8B2

An optimized crystal structure of SmGdNi8B2 (GGA-PBE, the Open Quantum Materials Database).

Summary:
SG: P6/mmm
Crystal system: hexagonal

abc: 5.030 5.030 6.983
angles: 90.00 90.00 120.00
Atoms (fractional coordinates):
Sm 0.000 0.000 0.000
Gd 0.000 0.000 0.500
Ni 0.000 0.500 0.207
Ni 0.000 0.500 0.793
Ni 0.333 0.667 0.500
Ni 0.500 0.000 0.207
Ni 0.500 0.000 0.793
Ni 0.500 0.500 0.207
Ni 0.500 0.500 0.793
Ni 0.667 0.333 0.500
B 0.333 0.667 0.000
B 0.667 0.333 0.000

# 5
# MgZrInSe3

An optimized crystal structure of MgZrInSe3 (GGA-PBE, the Open Quantum Materials Database).

Summary:
SG: Cmcm
Crystal system: orthorhombic

abc: 7.481 7.481 10.656
angles: 90.00 90.00 149.71
Atoms (fractional coordinates):
Mg 0.059 0.941 0.750
Mg 0.941 0.059 0.250
Zr 0.500 0.500 0.000
Zr 0.500 0.500 0.500
In 0.237 0.763 0.250
In 0.763 0.237 0.750
Se 0.133 0.867 0.534
Se 0.133 0.867 0.966
Se 0.441 0.559 0.750
Se 0.559 0.441 0.250
Se 0.867 0.133 0.034
Se 0.867 0.133 0.466

# 6
# HfTc2Sb

An optimized crystal structure of HfTc2Sb (GGA-PBE, the Open Quantum Materials Database).

Summary:
SG: P6_3/mmc
Crystal system: hexagonal

abc: 4.537 4.537 8.248
angles: 90.00 90.00 120.00
Atoms (fractional coordinates):
Hf 0.333 0.667 0.250
Hf 0.667 0.333 0.750
Tc 0.333 0.667 0.601
Tc 0.333 0.667 0.899
Tc 0.667 0.333 0.101
Tc 0.667 0.333 0.399
Sb 0.000 0.000 0.000
Sb 0.000 0.000 0.500

# 7
# ZnCu7

An optimized crystal structure of ZnCu7 (GGA-PBE, the Open Quantum Materials Database).

Summary:
SG: P4/nmm
Crystal system: tetragonal
Energy of formation from the pure elements: 0.4 eV/f.u.

abc: 2.518 2.518 38.954
angles: 90.00 90.00 90.00
Atoms (fractional coordinates):
Zn 0.250 0.250 0.144
Zn 0.750 0.750 0.856
Cu 0.250 0.250 0.243
Cu 0.250 0.250 0.337
Cu 0.250 0.250 0.430
Cu 0.250 0.250 0.523
Cu 0.250 0.250 0.617
Cu 0.250 0.250 0.710
Cu 0.250 0.250 0.805
Cu 0.750 0.750 0.195
Cu 0.750 0.750 0.290
Cu 0.750 0.750 0.383
Cu 0.750 0.750 0.477
Cu 0.750 0.750 0.570
Cu 0.750 0.750 0.663
Cu 0.750 0.750 0.757

# 8
# TlB4Mo

An optimized crystal structure of TlB4Mo (GGA-PBE, the Open Quantum Materials Database).

Summary:
SG: Immm
Crystal system: orthorhombic

abc: 4.922 4.922 4.922
angles: 143.52 115.26 76.66
Atoms (fractional coordinates):
Tl 0.000 0.000 0.000
B 0.093 0.756 0.337
B 0.418 0.756 0.663
B 0.582 0.244 0.337
B 0.907 0.244 0.663
Mo 0.500 0.500 0.000

# 9
# Li4ZnTeO6

An optimized crystal structure of Li4ZnTeO6 (GGA-PBE, the Open Quantum Materials Database).

Summary:
SG: C2
Crystal system: monoclinic

abc: 5.168 5.168 5.139
angles: 100.11 100.11 119.59
Atoms (fractional coordinates):
Li 0.000 0.000 0.000
Li 0.163 0.837 0.500
Li 0.499 0.501 0.500
Li 0.838 0.162 0.500
Zn 0.333 0.667 0.000
Te 0.667 0.333 0.000
O 0.054 0.415 0.239
O 0.282 0.259 0.762
O 0.437 0.103 0.228
O 0.585 0.946 0.761
O 0.741 0.718 0.238
O 0.897 0.563 0.772

# 10
# Tm4CdBr

An optimized crystal structure of Tm4CdBr (GGA-PBE, the Open Quantum Materials Database).

Summary:
SG: R-3m
Crystal system: trigonal

abc: 7.006 7.006 7.006
angles: 46.79 46.79 46.79
Atoms (fractional coordinates):
Tm 0.143 0.143 0.143
Tm 0.333 0.333 0.333
Tm 0.667 0.667 0.667
Tm 0.857 0.857 0.857
Cd 0.500 0.500 0.500
Br 0.000 0.000 0.000

# 11
# Li4SmSi2

An optimized crystal structure of Li4SmSi2 (GGA-PBE, the Open Quantum Materials Database).

Summary:
SG: Cmmm
Crystal system: orthorhombic

abc: 6.412 6.412 4.698
angles: 90.00 90.00 134.85
Atoms (fractional coordinates):
Li 0.000 0.000 0.000
Li 0.217 0.783 0.000
Li 0.500 0.500 0.500
Li 0.783 0.217 0.000
Sm 0.500 0.500 0.000
Si 0.102 0.898 0.500
Si 0.898 0.102 0.500

# 12
# TbNdMg

An optimized crystal structure of TbNdMg (GGA-PBE, the Open Quantum Materials Database).

Summary:
SG: F-43m
Crystal system: cubic

abc: 5.296 5.296 5.296
angles: 60.00 60.00 60.00
Atoms (fractional coordinates):
Tb 0.000 0.000 0.000
Nd 0.500 0.500 0.500
Mg 0.750 0.750 0.750

# 13
# CdSnAs2

An optimized crystal structure of CdSnAs2 (GGA-PBE, the Open Quantum Materials Database).

Summary:
SG: F-43m
Crystal system: cubic

abc: 5.021 5.021 5.021
angles: 60.00 60.00 60.00
Atoms (fractional coordinates):
Cd 0.000 0.000 0.000
Sn 0.750 0.750 0.750
As 0.250 0.250 0.250
As 0.500 0.500 0.500

# 14
# DyTm2ScIn2

An optimized crystal structure of DyTm2ScIn2 (GGA-PBE, the Open Quantum Materials Database).

Summary:
SG: P-3m1
Crystal system: trigonal

abc: 5.289 5.289 6.567
angles: 90.00 90.00 120.00
Atoms (fractional coordinates):
Dy 0.000 0.000 0.000
Tm 0.333 0.667 0.268
Tm 0.667 0.333 0.732
Sc 0.000 0.000 0.500
In 0.333 0.667 0.755
In 0.667 0.333 0.245

# 15
# NaAlSiNi

An optimized crystal structure of NaAlSiNi (GGA-PBE, the Open Quantum Materials Database).

Summary:
SG: F-43m
Crystal system: cubic

abc: 4.391 4.391 4.391
angles: 60.00 60.00 60.00
Atoms (fractional coordinates):
Na 0.000 0.000 0.000
Al 0.500 0.500 0.500
Si 0.750 0.750 0.750
Ni 0.250 0.250 0.250

# 16
# Ho5ErBi6

An optimized crystal structure of Ho5ErBi6 (GGA-PBE, the Open Quantum Materials Database).

Summary:
SG: C2/m
Crystal system: monoclinic

abc: 7.699 7.699 7.698
angles: 99.59 99.59 120.00
Atoms (fractional coordinates):
Ho 0.000 0.000 0.000
Ho 0.167 0.833 0.500
Ho 0.333 0.667 0.000
Ho 0.667 0.333 0.000
Ho 0.833 0.167 0.500
Er 0.500 0.500 0.500
Bi 0.084 0.417 0.250
Bi 0.251 0.251 0.750
Bi 0.417 0.084 0.250
Bi 0.583 0.916 0.750
Bi 0.749 0.749 0.250
Bi 0.916 0.583 0.750

# 17
# LaGdMg2Ga2

An optimized crystal structure of LaGdMg2Ga2 (GGA-PBE, the Open Quantum Materials Database).

Summary:
SG: P3m1
Crystal system: trigonal

abc: 4.732 4.732 7.611
angles: 90.00 90.00 120.00
Atoms (fractional coordinates):
La 0.000 0.000 0.000
Gd 0.000 0.000 0.500
Mg 0.333 0.667 0.749
Mg 0.667 0.333 0.285
Ga 0.333 0.667 0.225
Ga 0.667 0.333 0.700

# 18
# RbHfAg

An optimized crystal structure of RbHfAg (GGA-PBE, the Open Quantum Materials Database).

Summary:
SG: F-43m
Crystal system: cubic

abc: 5.132 5.132 5.132
angles: 60.00 60.00 60.00
Atoms (fractional coordinates):
Rb 0.000 0.000 0.000
Hf 0.250 0.250 0.250
Ag 0.750 0.750 0.750

# 19
# Ni9Te2

An optimized crystal structure of Ni9Te2 (GGA-PBE, the Open Quantum Materials Database).

Summary:
SG: P3m1
Crystal system: trigonal

abc: 2.857 2.857 31.846
angles: 90.00 90.00 120.00
Atoms (fractional coordinates):
Ni 0.000 0.000 0.000
Ni 0.000 0.000 0.169
Ni 0.000 0.000 0.829
Ni 0.333 0.667 0.113
Ni 0.333 0.667 0.771
Ni 0.333 0.667 0.943
Ni 0.667 0.333 0.056
Ni 0.667 0.333 0.228
Ni 0.667 0.333 0.886
Te 0.333 0.667 0.291
Te 0.667 0.333 0.708

# 20
# LuTlFeCo

An optimized crystal structure of LuTlFeCo (GGA-PBE, the Open Quantum Materials Database).

Summary:
SG: F-43m
Crystal system: cubic

abc: 4.580 4.580 4.580
angles: 60.00 60.00 60.00
Atoms (fractional coordinates):
Lu 0.000 0.000 0.000
Tl 0.500 0.500 0.500
Fe 0.250 0.250 0.250
Co 0.750 0.750 0.750

Number 1: final energy -10.3 eV per cell. Number 2: final energy -62.5 eV per cell. Number 3: final energy -14.1 eV per cell. Number 4: final energy -72.8 eV per cell. Number 5: final energy -57.6 eV per cell. Number 6: final energy -71.0 eV per cell. Number 7: final energy -53.9 eV per cell. Number 8: final energy -36.6 eV per cell. Number 9: final energy -62.2 eV per cell. Number 10: final energy -20.9 eV per cell. Number 11: final energy -19.9 eV per cell. Number 12: final energy -9.8 eV per cell. Number 13: final energy -13.1 eV per cell. Number 14: final energy -27.4 eV per cell. Number 15: final energy -15.2 eV per cell. Number 16: final energy -61.9 eV per cell. Number 17: final energy -21.3 eV per cell. Number 18: final energy -8.1 eV per cell. Number 19: final energy -51.4 eV per cell. Number 20: final energy -21.5 eV per cell.